Entry 1:
The following is a DFT calculation (PBE) of crystalline RbAgIrSe3 at its relaxed geometry.

Properties
* crystal system: orthorhombic
* uncorrected energy: -99.59 eV/cell
* spin magnetization: 0.02 μB per formula unit

a = 3.8606 Å, b = 15.6578 Å, c = 10.1434 Å
α = 90.00°, β = 90.00°, γ = 90.00°
Space group Cmcm (No. 63)
One atom of each set of equivalent atoms:
Rb1 0.0000 0.2442 0.2500 (multiplicity 4)
Ag1 0.0000 0.4465 0.7500 (multiplicity 4)
Ir1 0.0000 0.0000 0.0000 (multiplicity 4)
Se1 0.0000 0.0615 0.7500 (multiplicity 4)
Se2 0.0000 0.3932 0.5141 (multiplicity 8)

Entry 2:
The following is a DFT calculation (PBE) of crystalline RbAgTe3Ir at its relaxed geometry.

Properties
* crystal system: orthorhombic
* uncorrected energy: -94.44 eV/cell
* spin magnetization: 0.02 μB per formula unit

a = 4.0498 Å, b = 16.5444 Å, c = 10.8055 Å
α = 90.00°, β = 90.00°, γ = 90.00°
Space group Cmcm (No. 63)
One atom of each set of equivalent atoms:
Rb1 0.0000 0.2402 0.2500 (multiplicity 4)
Ag1 0.0000 0.4418 0.7500 (multiplicity 4)
Te1 0.0000 0.0596 0.7500 (multiplicity 4)
Te2 0.0000 0.3909 0.5132 (multiplicity 8)
Ir1 0.0000 0.0000 0.0000 (multiplicity 4)

Entry 3:
The following is a DFT calculation (PBE) of crystalline RbAg3Te4Ir at its relaxed geometry.

Properties
* crystal system: cubic
* uncorrected energy: -31.34 eV/cell
* spin magnetization: 0.84 μB per formula unit

a = 6.8783 Å, b = 6.8783 Å, c = 6.8783 Å
α = 90.00°, β = 90.00°, γ = 90.00°
Space group P-43m (No. 215)
One atom of each set of equivalent atoms:
Rb1 0.0000 0.0000 0.0000 (multiplicity 1)
Ag1 0.0000 0.5000 0.5000 (multiplicity 3)
Te1 0.2853 0.2853 0.2853 (multiplicity 4)
Ir1 0.5000 0.5000 0.5000 (multiplicity 1)

Entry 4:
The following is a DFT calculation (PBE) of crystalline AgIrS2 at its relaxed geometry.

Properties
* crystal system: tetragonal
* uncorrected energy: -79.30 eV/cell
* spin magnetization: 0.00 μB per formula unit

a = 5.8601 Å, b = 5.8601 Å, c = 9.7370 Å
α = 90.00°, β = 90.00°, γ = 90.00°
Space group I-42d (No. 122)
One atom of each set of equivalent atoms:
Ag1 0.0000 0.0000 0.0000 (multiplicity 4)
Ir1 0.0000 0.0000 0.5000 (multiplicity 4)
S1 0.2079 0.7500 0.6250 (multiplicity 8)

Entry 5:
The following is a DFT calculation (PBE) of crystalline Ag2IrS3 at its relaxed geometry.

Properties
* crystal system: monoclinic
* uncorrected energy: -107.07 eV/cell
* spin magnetization: 0.01 μB per formula unit

a = 6.8424 Å, b = 12.0778 Å, c = 6.7097 Å
α = 90.00°, β = 109.43°, γ = 90.00°
Space group Cc (No. 9)
One atom of each set of equivalent atoms:
Ag1 0.0000 0.0738 0.0000 (multiplicity 4)
Ag2 0.4723 0.2378 0.9324 (multiplicity 4)
Ir1 0.0145 0.4038 0.9944 (multiplicity 4)
S1 0.0888 0.2510 0.8434 (multiplicity 4)
S2 0.1085 0.4473 0.3435 (multiplicity 4)
S3 0.1668 0.0926 0.3940 (multiplicity 4)

Entry 6:
The following is a DFT calculation (PBE) of crystalline AgIrS6 at its relaxed geometry.

Properties
* crystal system: cubic
* uncorrected energy: -127.46 eV/cell
* spin magnetization: 0.00 μB per formula unit

a = 8.6411 Å, b = 8.6411 Å, c = 8.6411 Å
α = 90.00°, β = 90.00°, γ = 90.00°
Space group F-43m (No. 216)
One atom of each set of equivalent atoms:
Ag1 0.0000 0.0000 0.0000 (multiplicity 4)
Ir1 0.2500 0.2500 0.2500 (multiplicity 4)
S1 0.0220 0.2500 0.7500 (multiplicity 24)